(1)
The following is a DFT calculation (GGA-PBE) of a relaxed structure of LiZrTe2S6.

Calculated values
The raw formation energy comes out at -4.82 eV per formula unit. The value obtained for the total energy is -4.63 eV/atom.

Lattice parameters (Å, degrees): 6.661 6.662 7.221 89.97 117.47 120.04
Element x y z (fractional)
1 S 0.846 0.629 0.705
2 S 0.483 0.087 0.191
3 S 0.118 0.395 0.191
4 S 0.811 0.723 0.192
5 S 0.504 0.873 0.705
6 S 0.090 0.216 0.705
7 Te 0.597 0.798 0.381
8 Te 0.529 0.264 0.779
9 Li 0.974 0.487 0.447
10 Zr 0.014 0.007 0.007

***

(2)
The following is a DFT calculation (GGA-PBE) of a relaxed structure of Li4ThS4.

Calculated values
The raw formation energy comes out at -13.72 eV per formula unit. The value obtained for the total energy is -5.03 eV/atom.

Lattice parameters (Å, degrees): 3.996 6.664 8.088 78.54 75.70 72.55
Element x y z (fractional)
1 S 0.918 0.288 0.876
2 S 0.267 0.158 0.309
3 S 0.733 0.842 0.691
4 S 0.082 0.712 0.124
5 Th 0.500 0.000 0.000
6 Li 0.292 0.602 0.814
7 Li 0.708 0.398 0.186
8 Li 0.152 0.076 0.621
9 Li 0.848 0.924 0.379

***

Number 2 is which compound?
Li4ThS4